1.
VASP calculation (PBE-GGA) on a relaxed BePb2 crystal.

It has space group P6_3/mmc (No. 194), with a = 4.3722 Å, b = 4.3722 Å, c = 9.3392 Å, α = 90.00°, β = 90.00° and γ = 120.00°. The distinct sites, in fractional coordinates, are Be at (0.3333, 0.6667, 0.2500), Pb at (0.0000, 0.0000, 0.0000) and Pb at (0.3333, 0.6667, 0.7500).

Its formation energy is 0.4763 eV per atom. The value obtained for the energy above the most stable polymorph in this dataset is 4.33 kcal/mol of atoms.

---

2.
VASP calculation (PBE-GGA) on a relaxed La6PmDy8 crystal.

It has space group R-3 (No. 148, hexagonal axes), with a = 9.1543 Å, b = 9.1543 Å, c = 21.2570 Å, α = 90.00°, β = 90.00° and γ = 120.00°. The distinct sites, in fractional coordinates, are La at (0.0539, 0.2470, 0.2126), Pm at (0.0000, 0.0000, 0.5000), Dy at (0.0000, 0.0000, 0.0766) and Dy at (0.0799, 0.5671, 0.3063).

Its formation energy is 0.1151 eV per atom.